VASP calculation (GGA-PBE) on a relaxed TaRe3 crystal.

POSCAR file:
```
TaRe3
1.0
5.044 0.000 0.000
0.000 5.044 0.000
0.000 0.000 5.044
Re Ta
6 2
direct
0.000 0.250 0.500 Re
0.500 0.000 0.250 Re
0.500 0.000 0.750 Re
0.750 0.500 0.000 Re
0.000 0.750 0.500 Re
0.250 0.500 0.000 Re
0.000 0.000 0.000 Ta
0.500 0.500 0.500 Ta
```

Calculated values
Formation energy from the elements in eV/atom: 0.105